1.
DFT (PBE-GGA) results for crystalline SmUFe at its relaxed geometry.

Cell: 3.4830 3.4830 6.2455 Å, 90.00 90.00 120.00°
Positions (direct):
U: 0.6667 0.3333 0.4106
Sm: 0.0000 0.0000 0.9691
Fe: 0.3333 0.6667 0.6203

final energy: -23.8 eV/cell
SG: No. 156
ΔE_f: 216 meV per atom
relative energy among the computed polymorphs: 120 meV per atom
total moment: 0.005 μB per atom

=====

2.
DFT (PBE-GGA) results for crystalline Ce2SmHo at its relaxed geometry.

Cell: 3.4759 3.4759 10.1846 Å, 90.00 90.00 90.00°
Each line ends with the local moment (μB).
Positions (direct):
Sm: 0.5000 0.5000 0.5000  0.01
Ce: 0.0000 0.0000 0.2474  0.61
Ce: 0.0000 0.0000 0.7526  0.61
Ho: 0.5000 0.5000 0.0000  0.05

final energy: -20.7 eV/cell
SG: No. 123
ΔE_f: 113 meV per atom
relative energy among the computed polymorphs: 11 meV per atom
total moment: 0.383 μB per atom

=====

3.
DFT (PBE-GGA) results for crystalline LaCe2DySe4 at its relaxed geometry.

Cell: 4.1774 7.3098 7.2798 Å, 70.85 90.00 90.00°
Each line ends with the local moment (μB).
Positions (direct):
Se: 0.5000 0.7437 0.2610  -0.01
Se: 0.0000 0.7502 0.7407  -0.01
Ce: 0.0000 0.0000 0.0000  0.90
Se: 0.5000 0.2563 0.7390  -0.01
Dy: 0.0000 0.5000 0.5000  0.00
Se: 0.0000 0.2498 0.2593  -0.01
Ce: 0.5000 0.0000 0.5000  0.77
La: 0.5000 0.5000 0.0000  0.01

formation energy (no corrections): -1.843 eV per atom
final energy: -50.1 eV/cell
SG: No. 10
total moment: 0.252 μB per atom

=====

4.
DFT (PBE-GGA) results for crystalline KNaTl2I4 at its relaxed geometry.

Cell: 4.9130 8.6049 8.5345 Å, 70.85 90.00 90.00°
Positions (direct):
I: 0.5000 0.2666 0.7342
K: 0.5000 0.5000 0.0000
I: 0.0000 0.7390 0.7412
I: 0.0000 0.2610 0.2588
Tl: 0.5000 0.0000 0.5000
I: 0.5000 0.7334 0.2658
Na: 0.0000 0.5000 0.5000
Tl: 0.0000 0.0000 0.0000

formation energy (no corrections): -1.005 eV per atom
final energy: -21.4 eV/cell
SG: No. 10
total moment: 0.000 μB per atom

=====

5.
DFT (PBE-GGA) results for crystalline ZnPt3O at its relaxed geometry.

Cell: 4.2571 4.2571 4.2571 Å, 90.00 90.00 90.00°
Positions (direct):
Zn: 0.5000 0.5000 0.5000
Pt: 0.0000 0.0000 0.5000
Pt: 0.5000 0.0000 0.0000
Pt: 0.0000 0.5000 0.0000
O: 0.0000 0.0000 0.0000

formation energy (no corrections): 0.402 eV per atom
final energy: -22.3 eV/cell
SG: No. 221
relative energy among the computed polymorphs: 0 meV per atom
total moment: 0.000 μB per atom

=====

6.
DFT (PBE-GGA) results for crystalline TaHgF2 at its relaxed geometry.

Cell: 4.3707 4.3707 4.3707 Å, 60.00 60.00 60.00°
Positions (direct):
Hg: 0.5000 0.5000 0.5000
F: 0.7500 0.7500 0.7500
F: 0.2500 0.2500 0.2500
Ta: 0.0000 0.0000 0.0000

formation energy (no corrections): -0.311 eV per atom
final energy: -17.1 eV/cell
SG: No. 225
relative energy among the computed polymorphs: 1259 meV per atom
total moment: 0.002 μB per atom

=====

7.
DFT (PBE-GGA) results for crystalline U3Mo4P4 at its relaxed geometry.

Cell: 4.1572 5.9557 8.1903 Å, 90.00 90.00 110.43°
Each line ends with the local moment (μB).
Positions (direct):
U: 0.3915 0.7830 0.7158  0.27
P: 0.7156 0.4311 0.2325  0.00
Mo: 0.0997 0.1995 0.7264  -0.03
P: 0.9569 0.9139 0.5000  0.00
P: 0.9696 0.9392 0.0000  0.00
U: 0.2776 0.5551 0.0000  0.19
Mo: 0.5757 0.1514 0.0000  -0.04
U: 0.3915 0.7830 0.2842  0.27
Mo: 0.0997 0.1995 0.2736  -0.03
P: 0.7156 0.4311 0.7675  0.00
Mo: 0.6051 0.2101 0.5000  -0.02

final energy: -103.8 eV/cell
SG: No. 38
ΔE_f: -448 meV per atom
total moment: 0.057 μB per atom

=====

8.
DFT (PBE-GGA) results for crystalline ReHg2Pb at its relaxed geometry.

Cell: 3.0785 3.0785 9.4113 Å, 90.00 90.00 90.00°
Each line ends with the local moment (μB).
Positions (direct):
Pb: 0.5000 0.5000 0.2500  0.00
Hg: 0.0000 0.0000 0.5416  0.03
Hg: 0.0000 0.0000 0.9584  0.03
Re: 0.5000 0.5000 0.7500  1.23

final energy: -13.6 eV/cell
SG: No. 123
ΔE_f: 795 meV per atom
total moment: 0.370 μB per atom

=====

Which of these has the highest total moment?
Ce2SmHo

=====

final energy of number 6 (TaHgF2)?
-17.1 eV/cell

=====

Number 1 is which compound?
SmUFe